Record 1
RbAu2Br | Alexandria | PBE | relaxed; ΔE to the lowest computed polymorph = 0 kJ/mol of formula units
1.0
-0.138 4.943 1.867
-5.284 -0.139 -0.022
-2.654 -1.345 10.844
Au Br Rb
4 2 2
direct
0.375 0.625 0.250
0.375 0.125 0.250
0.875 0.625 0.750
0.375 0.625 0.750
0.250 0.750 0.500
0.500 0.500 0.000
0.000 0.000 0.000
0.750 0.250 0.500

---

Record 2
Rb2AuBr | Alexandria | PBE | relaxed; ΔE to the lowest computed polymorph = 40 kJ/mol of formula units
1.0
7.954 0.000 0.000
0.000 7.954 0.000
3.977 3.977 7.625
Br Rb Au
2 4 2
direct
0.250 0.750 0.500
0.500 0.500 0.000
0.132 0.625 0.250
0.618 0.125 0.250
0.375 0.382 0.750
0.875 0.868 0.750
0.750 0.250 0.500
0.000 0.000 0.000

---

Record 3
DFT (PBE) results for an optimized crystal structure of Rb2AuBr5.

Geometry as POSCAR:
```
Rb2AuBr5
1.0
7.284 0.388 0.552
-3.249 6.531 -0.552
-3.249 -2.741 5.954
Br Rb Au
5 2 1
direct
0.445 0.198 0.198
0.000 0.198 0.753
0.555 0.753 0.753
0.000 0.753 0.198
0.000 0.372 0.372
0.500 0.229 0.729
0.500 0.729 0.229
0.000 0.991 0.991
```

---

Record 4
DFT (PBE) results for an optimized crystal structure of Rb2AuBr4.

Geometry as POSCAR:
```
Rb2AuBr4
1.0
5.411 0.000 0.000
0.000 5.411 0.000
-2.705 -2.705 8.701
Au Br Rb
1 4 2
direct
0.000 0.000 0.000
0.840 0.840 0.680
0.500 0.000 0.000
0.000 0.500 0.000
0.160 0.160 0.320
0.360 0.360 0.721
0.640 0.640 0.279
```

---

Record 5
DFT (PBE) results for an optimized crystal structure of Rb8AuBr6.

Geometry as POSCAR:
```
Rb8AuBr6
1.0
5.099 0.000 0.000
0.000 10.938 -6.315
0.000 0.000 12.630
Br Rb Au
6 8 1
direct
0.756 0.474 0.345
0.756 0.655 0.130
0.244 0.345 0.870
0.244 0.526 0.655
0.756 0.870 0.526
0.244 0.130 0.474
0.741 0.964 0.286
0.741 0.714 0.678
0.259 0.286 0.322
0.259 0.036 0.714
0.254 0.667 0.333
0.259 0.678 0.964
0.741 0.322 0.036
0.746 0.333 0.667
0.500 0.000 0.000
```

---

Record 6
DFT (PBE) results for an optimized crystal structure of Rb4AuBr.

Geometry as POSCAR:
```
Rb4AuBr
1.0
-3.143 3.616 -1.462
-2.748 -3.138 -10.436
-11.661 -5.151 3.750
Rb Br Au
8 2 2
direct
0.939 0.441 0.183
0.312 0.807 0.068
0.437 0.941 0.683
0.813 0.307 0.568
0.187 0.693 0.432
0.688 0.193 0.932
0.563 0.059 0.317
0.061 0.559 0.817
0.250 0.250 0.750
0.750 0.750 0.250
0.000 0.000 0.500
0.500 0.500 0.000
```

---

Record 7
DFT (PBE) results for an optimized crystal structure of RbAuBr5.

Geometry as POSCAR:
```
RbAuBr5
1.0
7.765 1.020 -0.274
3.431 7.041 -0.274
3.683 2.651 10.002
Br Au Rb
10 2 2
direct
0.618 0.117 0.065
0.382 0.883 0.935
0.086 0.626 0.064
0.117 0.618 0.565
0.993 0.007 0.750
0.374 0.914 0.436
0.007 0.993 0.250
0.626 0.086 0.564
0.914 0.374 0.936
0.883 0.382 0.435
0.000 0.000 0.000
0.000 0.000 0.500
0.502 0.498 0.250
0.498 0.502 0.750
```

---

Record 8
Rb3AuBr6 | Alexandria | PBE | relaxed; ΔE to the lowest computed polymorph = 102 kJ/mol of formula units
1.0
8.928 0.411 0.420
0.217 8.935 0.420
0.217 0.221 8.942
Br Rb Au
12 6 2
direct
0.195 0.521 0.501
0.210 0.899 0.194
0.806 0.790 0.101
0.194 0.210 0.899
0.521 0.501 0.195
0.101 0.806 0.790
0.790 0.101 0.806
0.501 0.195 0.521
0.479 0.499 0.805
0.499 0.805 0.479
0.805 0.479 0.499
0.899 0.194 0.210
0.841 0.463 0.879
0.463 0.879 0.841
0.121 0.159 0.537
0.879 0.841 0.463
0.159 0.537 0.121
0.537 0.121 0.159
0.500 0.500 0.500
0.000 0.000 0.000

---

Record 9
DFT (PBE) results for an optimized crystal structure of Rb8Au3Br.

Geometry as POSCAR:
```
Rb8Au3Br
1.0
10.013 0.000 0.000
-5.006 7.058 -4.924
0.000 -0.041 10.128
Br Rb Au
1 8 3
direct
0.000 0.000 0.000
0.252 0.004 0.761
0.748 0.996 0.239
0.749 0.497 0.241
0.248 0.996 0.239
0.251 0.503 0.759
0.248 0.495 0.239
0.752 0.004 0.761
0.752 0.505 0.761
0.000 0.500 0.000
0.500 0.000 0.000
0.500 0.500 0.000
```

---

Record 10
RbAu2Br2 | Alexandria | PBE | relaxed; ΔE to the lowest computed polymorph = 3 kJ/mol of formula units
1.0
5.342 0.000 0.000
0.000 5.342 0.000
2.671 2.671 5.173
Au Br Rb
2 2 1
direct
0.370 0.370 0.260
0.630 0.630 0.740
0.750 0.250 0.500
0.250 0.750 0.500
0.000 0.000 0.000

---

Record 11
Rb3Au2Br7 | Alexandria | PBE | relaxed; ΔE to the lowest computed polymorph = 18 kJ/mol of formula units
1.0
5.381 0.000 0.000
0.000 5.594 0.000
0.000 -2.797 13.608
Br Rb Au
7 3 2
direct
0.000 0.406 0.812
0.000 0.803 0.606
0.000 0.197 0.394
0.500 0.095 0.190
0.000 0.000 0.000
0.000 0.594 0.188
0.500 0.905 0.810
0.500 0.679 0.357
0.500 0.500 0.000
0.500 0.321 0.643
0.000 0.901 0.802
0.000 0.099 0.198

---

Record 12
DFT (PBE) results for an optimized crystal structure of Rb7AuBr5.

Geometry as POSCAR:
```
Rb7AuBr5
1.0
4.872 0.000 0.000
-2.436 8.277 0.004
0.000 -0.053 29.650
Rb Br Au
14 10 2
direct
0.090 0.179 0.893
0.637 0.274 0.036
0.186 0.373 0.178
0.815 0.630 0.678
0.815 0.629 0.822
0.910 0.820 0.393
0.090 0.179 0.607
0.912 0.823 0.107
0.364 0.729 0.964
0.451 0.901 0.250
0.185 0.370 0.322
0.550 0.101 0.750
0.636 0.272 0.464
0.364 0.728 0.536
0.726 0.452 0.572
0.456 0.913 0.857
0.000 0.000 0.500
0.456 0.913 0.643
0.275 0.550 0.072
0.001 0.001 0.000
0.544 0.087 0.357
0.545 0.090 0.143
0.726 0.452 0.928
0.274 0.548 0.428
0.209 0.419 0.750
0.791 0.583 0.251
```

---

| no. | ΔE_f (raw) (meV/atom) |
| --- | --- |
| 1 | -277 |
| 2 | -910 |
| 3 | -968 |
| 4 | -1038 |
| 5 | -1332 |
| 6 | -651 |
| 7 | -538 |
| 8 | -1020 |
| 9 | -415 |
| 10 | -323 |
| 11 | -935 |
| 12 | -1357 |